Record 1
12
Lattice="-6.750 2.007 1.892 5.508 -4.677 0.977 4.146 6.526 7.867" Properties=species:S:1:pos:R:3 comment="TmAgSnTeSe2 (PBE, optimized geometry)" dft_energy_ev_per_atom=-4.363 magnetic_moment_mub_per_cell=0.00 pbc="T T T"
Ag 6.192 -2.853 2.970
Ag -3.288 6.709 7.766
Se 4.058 -3.403 1.534
Se 5.675 -0.857 4.604
Se -2.771 4.713 6.132
Se -1.153 7.259 9.202
Sn -2.200 1.723 3.597
Sn 5.104 2.133 7.140
Te 1.736 -0.423 3.303
Te 1.168 4.279 7.433
Tm -0.621 -1.335 1.434
Tm 1.452 1.928 5.368


Record 2
9
Lattice="-1.466 3.446 -1.394 -5.991 -0.987 3.860 5.590 3.527 2.842" Properties=species:S:1:pos:R:3 comment="DyEr2Zn3NiAg2 (PBE, optimized geometry)" e_form_ev_per_atom=-0.357 dft_energy_ev_per_atom=-3.550 magnetic_moment_mub_per_cell=0.01 pbc="T T T"
Ag -2.880 2.236 2.829
Ag 1.013 3.753 2.487
Dy -0.158 1.000 2.638
Er -2.588 1.160 5.588
Er 1.942 2.926 5.191
Ni -0.401 2.536 6.691
Zn -5.442 1.544 3.812
Zn -1.042 3.679 4.465
Zn 3.483 5.023 3.028


Record 3
4
Lattice="0.000 3.439 3.439 3.439 0.000 3.439 3.439 3.439 0.000" Properties=species:S:1:pos:R:3 comment="Tl2CuPd (PBE, optimized geometry)" dft_energy_ev_per_atom=-3.195 pbc="T T T"
Cu 1.719 1.719 1.719
Pd 3.439 3.439 3.439
Tl 0.000 0.000 0.000
Tl 5.158 5.158 5.158


Record 4
9
Lattice="4.248 0.000 0.000 0.000 6.297 3.619 0.000 -6.297 3.619" Properties=species:S:1:pos:R:3 comment="DyTm2Al3CuSn2 (PBE, optimized geometry)" dft_energy_ev_per_atom=-4.586 magnetic_moment_mub_per_cell=0.00 pbc="T T T"
Al 2.124 0.000 1.624
Al 2.124 1.402 6.432
Al 2.124 -1.402 6.432
Cu 0.000 0.000 0.027
Dy 0.000 0.000 4.427
Sn 2.124 2.117 3.612
Sn 2.124 -2.117 3.612
Tm 0.000 3.859 5.013
Tm 0.000 -3.859 5.013


Record 5
6
Lattice="2.974 0.000 0.000 -1.487 2.576 0.000 0.000 0.000 6.145" Properties=species:S:1:pos:R:3 comment="FeNiB4 (PBE, optimized geometry)" dft_energy_ev_per_atom=-6.709 magnetic_moment_mub_per_cell=2.95 pbc="T T T"
B 1.487 0.859 1.549
B 0.000 1.717 1.549
B 1.487 0.859 4.596
B 0.000 1.717 4.596
Fe 0.000 0.000 3.073
Ni 0.000 0.000 0.000


Record 6
7
Lattice="-4.660 3.584 -3.293 -5.921 0.129 -3.214 -0.470 0.309 6.057" Properties=species:S:1:pos:R:3 comment="Y2Ho2C3 (PBE, optimized geometry)" dft_energy_ev_per_atom=-7.337 magnetic_moment_mub_per_cell=0.00 pbc="T T T"
C -7.736 2.745 -3.437
C -0.235 0.155 3.028
C -3.315 1.278 2.987
Ho -9.196 3.235 -5.319
Ho -1.855 0.788 4.869
Y -6.957 2.513 -1.140
Y -4.095 1.510 0.690


Record 7
16
Lattice="-4.704 3.436 -0.380 -1.034 -1.980 -5.097 -8.185 -5.468 3.783" Properties=species:S:1:pos:R:3 comment="GaAuSeO (PBE, optimized geometry)" dft_energy_ev_per_atom=-4.494 pbc="T T T"
Au -7.366 0.741 -1.161
Au -5.870 -1.826 0.701
Au -7.945 -1.977 -1.857
Au -6.846 -5.305 -1.956
Ga -1.584 -1.665 -2.941
Ga -3.669 0.651 -1.614
Ga -10.454 -5.045 -1.064
Ga -12.119 -1.925 2.334
O -4.627 2.091 -2.471
O -2.562 -0.043 -2.944
O -10.995 -3.268 3.056
O -9.663 -6.806 -1.033
Se -6.061 -0.654 -2.826
Se -3.663 -0.795 0.361
Se -9.978 -2.678 -0.665
Se -7.779 -3.196 1.547


Record 8
8
Lattice="-1.822 3.739 -0.060 -1.832 -3.175 1.967 3.773 1.945 6.656" Properties=species:S:1:pos:R:3 comment="Hf2Al2Fe3Cu (PBE, optimized geometry)" dft_energy_ev_per_atom=-7.226 magnetic_moment_mub_per_cell=3.05 pbc="T T T"
Al 0.053 0.100 4.610
Al 1.899 1.052 7.866
Cu 0.342 0.176 0.603
Fe 1.596 0.823 2.816
Fe 0.401 2.582 4.542
Fe 1.567 3.184 6.599
Hf -0.849 1.938 2.337
Hf 2.838 1.463 5.006


Record 9
36
Lattice="-6.860 1.082 0.174 -0.276 -0.299 -9.032 4.218 -9.764 0.194" Properties=species:S:1:pos:R:3 comment="Hg3AsO5 (PBE, optimized geometry)" dft_energy_ev_per_atom=-4.030 pbc="T T T"
As -0.498 -1.987 -2.265
As -4.533 -2.117 -6.662
As 1.616 -6.864 -2.002
As -2.419 -6.993 -6.400
Hg -2.079 -0.174 -8.931
Hg -3.612 -0.094 -3.234
Hg -0.662 -1.479 -5.689
Hg -4.302 -2.551 -1.017
Hg -1.481 -4.076 -7.693
Hg -3.082 -4.071 -4.246
Hg 0.165 -4.910 -4.418
Hg -1.436 -4.904 -0.972
Hg 1.384 -6.429 -7.647
Hg -2.255 -7.501 -2.975
Hg 0.694 -8.887 -5.430
Hg -0.838 -8.807 0.267
O -6.470 0.146 -3.182
O -3.909 -0.505 -1.083
O -5.388 -0.635 -6.794
O -0.376 -1.378 -0.641
O -2.943 -1.989 -7.285
O -2.124 -2.152 -2.780
O -4.555 -2.617 -4.998
O 0.350 -3.476 -2.350
O -1.054 -3.525 -5.595
O 1.376 -4.318 -7.799
O -4.293 -4.663 -0.865
O -1.863 -5.456 -3.069
O -3.267 -5.504 -6.314
O 1.638 -6.363 -3.667
O -0.794 -6.828 -5.885
O 0.026 -6.991 -1.379
O -2.541 -7.603 -8.023
O 2.471 -8.346 -1.871
O 0.991 -8.476 -7.582
O 3.553 -9.127 -5.483


Record 10
4
Lattice="0.000 3.493 3.493 3.493 0.000 3.493 3.493 3.493 0.000" Properties=species:S:1:pos:R:3 comment="RbCuMoPd (PBE, optimized geometry)" dft_energy_ev_per_atom=-3.974 magnetic_moment_mub_per_cell=3.72 pbc="T T T"
Cu 5.240 5.240 5.240
Mo 0.000 0.000 0.000
Pd 1.747 1.747 1.747
Rb 3.493 3.493 3.493